YRhN2 | PBE-GGA | relaxed

Values from the calculation:
Total moment, μB/atom: 0.000
Distance to the lowest polymorph of the same formula, meV/atom: 744
N(E_F), states/eV/atom: 0.773

POSCAR file:
```
YRhN2
1.0
1.959 0.000 5.932
-0.979 1.696 5.932
-0.979 -1.696 5.932
Y Rh N
1 1 2
Direct
0.000 0.000 0.000
0.500 0.500 0.500
0.877 0.877 0.877
0.123 0.123 0.123
```